No. 1
Compound: ThMgTe2
Source: Alexandria
Functional: PBE-GGA
Structure: optimized geometry

abc: 3.890 3.890 7.401
angles: 90.00 90.00 90.00
Fractional coordinates of all 4 atoms:
Th: 0.000 0.000 0.000
Mg: 0.000 0.000 0.500
Te: 0.500 0.500 0.244
Te: 0.500 0.500 0.756

Results
For the formation energy from raw total energies, the calculation gives -0.881 eV/atom. For the calculated density, the calculation gives 7.59 g/cm3. As for the total energy: -4.71 eV per atom. The relative energy among the computed polymorphs is 0.00 kcal/mol of atoms.


No. 2
Compound: ThMgTe2
Source: Alexandria
Functional: PBE-GGA
Structure: optimized geometry

abc: 10.037 10.037 10.037
angles: 24.43 24.43 24.43
Fractional coordinates of all 4 atoms:
Th: 0.000 0.000 0.000
Mg: 0.500 0.500 0.500
Te: 0.401 0.401 0.401
Te: 0.599 0.599 0.599

Results
For the formation energy from raw total energies, the calculation gives -0.675 eV/atom. For the calculated density, the calculation gives 5.59 g/cm3. As for the total energy: -4.50 eV per atom. The relative energy among the computed polymorphs is 4.73 kcal/mol of atoms.


No. 3
Compound: ThMg2Tl3Te6
Source: Alexandria
Functional: PBE-GGA
Structure: optimized geometry

abc: 7.655 7.655 8.320
angles: 98.89 98.89 119.94
Fractional coordinates of all 12 atoms:
Th: 0.000 0.000 0.000
Mg: 0.331 0.669 0.000
Mg: 0.669 0.331 0.000
Tl: 0.161 0.839 0.500
Tl: 0.500 0.500 0.500
Tl: 0.839 0.161 0.500
Te: 0.072 0.416 0.215
Te: 0.276 0.276 0.789
Te: 0.416 0.072 0.215
Te: 0.584 0.928 0.785
Te: 0.724 0.724 0.211
Te: 0.928 0.584 0.785

Results
For the formation energy from raw total energies, the calculation gives -0.676 eV/atom. For the calculated density, the calculation gives 6.86 g/cm3. As for the total energy: -3.72 eV per atom.


No. 4
Compound: MgTiVTe2
Source: Alexandria
Functional: PBE-GGA
Structure: optimized geometry

abc: 5.310 5.310 4.391
angles: 90.00 90.00 90.00
Fractional coordinates of all 5 atoms:
Mg: 0.000 0.000 0.000
Ti: 0.500 0.500 0.000
V: 0.500 0.500 0.500
Te: 0.000 0.500 0.500
Te: 0.500 0.000 0.500

Results
For the formation energy from raw total energies, the calculation gives 0.302 eV/atom. For the calculated density, the calculation gives 5.07 g/cm3. As for the total energy: -4.68 eV per atom.


No. 5
Compound: Mg2ZrTiTe
Source: Alexandria
Functional: PBE-GGA
Structure: optimized geometry

abc: 5.174 5.174 5.080
angles: 90.00 90.00 90.00
Fractional coordinates of all 5 atoms:
Mg: 0.000 0.500 0.000
Mg: 0.500 0.000 0.000
Zr: 0.000 0.000 0.500
Ti: 0.500 0.500 0.500
Te: 0.500 0.500 0.000

Results
For the formation energy from raw total energies, the calculation gives 0.756 eV/atom. For the calculated density, the calculation gives 3.85 g/cm3. As for the total energy: -3.80 eV per atom.


No. 6
Compound: Mg2Tl2Te3
Source: Alexandria
Functional: PBE-GGA
Structure: optimized geometry

abc: 11.948 11.948 7.923
angles: 109.28 109.28 84.13
Fractional coordinates of all 28 atoms:
Mg: 0.038 0.580 0.737
Mg: 0.143 0.302 0.807
Mg: 0.302 0.143 0.307
Mg: 0.420 0.962 0.763
Mg: 0.580 0.038 0.237
Mg: 0.698 0.857 0.693
Mg: 0.857 0.698 0.193
Mg: 0.962 0.420 0.263
Tl: 0.063 0.937 0.750
Tl: 0.211 0.789 0.250
Tl: 0.309 0.483 0.374
Tl: 0.483 0.309 0.874
Tl: 0.517 0.691 0.126
Tl: 0.691 0.517 0.626
Tl: 0.789 0.211 0.750
Tl: 0.937 0.063 0.250
Te: 0.072 0.650 0.448
Te: 0.095 0.235 0.090
Te: 0.235 0.095 0.590
Te: 0.261 0.522 0.953
Te: 0.350 0.928 0.052
Te: 0.478 0.739 0.547
Te: 0.522 0.261 0.453
Te: 0.650 0.072 0.948
Te: 0.739 0.478 0.047
Te: 0.765 0.905 0.410
Te: 0.905 0.765 0.910
Te: 0.928 0.350 0.552

Results
For the formation energy from raw total energies, the calculation gives -0.612 eV/atom. For the calculated density, the calculation gives 5.54 g/cm3. As for the total energy: -3.09 eV per atom.


No. 7
Compound: MgTlTe
Source: Alexandria
Functional: PBE-GGA
Structure: optimized geometry

abc: 6.712 6.712 6.712
angles: 145.88 145.88 49.02
Fractional coordinates of all 3 atoms:
Mg: 0.000 0.000 0.000
Tl: 0.705 0.705 0.000
Te: 0.430 0.430 0.000

Results
For the formation energy from raw total energies, the calculation gives -0.267 eV/atom. For the calculated density, the calculation gives 6.25 g/cm3. As for the total energy: -2.63 eV per atom. The relative energy among the computed polymorphs is 2.90 kcal/mol of atoms.


No. 8
Compound: MgTlTe
Source: Alexandria
Functional: PBE-GGA
Structure: optimized geometry

abc: 12.517 12.517 12.517
angles: 20.97 20.97 20.97
Fractional coordinates of all 6 atoms:
Mg: 0.139 0.139 0.139
Mg: 0.861 0.861 0.861
Tl: 0.360 0.360 0.360
Tl: 0.640 0.640 0.640
Te: 0.219 0.219 0.219
Te: 0.781 0.781 0.781

Results
For the formation energy from raw total energies, the calculation gives -0.375 eV/atom. For the calculated density, the calculation gives 5.38 g/cm3. As for the total energy: -2.74 eV per atom. The relative energy among the computed polymorphs is 0.42 kcal/mol of atoms.